# NbTcAsAu

NbTcAsAu after structural relaxation (GGA-PBE, OQMD).

## Properties
energy above the lowest structure with this stoichiometry = 0 meV/atom

The structure in POSCAR format:
```
NbTcAsAu
1.0
1.614 -3.946 -1.484
2.914 -2.341 2.530
-1.302 -3.852 1.961
Au Tc Nb As
1 1 1 1
direct
0.750 0.750 0.750
0.000 0.000 0.000
0.500 0.500 0.500
0.250 0.250 0.250
```

# ThMg

ThMg after structural relaxation (GGA-PBE, OQMD).

## Properties
total DFT energy (no corrections) = -3.209 eV per atom

The structure in POSCAR format:
```
ThMg
1.0
0.290 5.338 -1.137
-4.211 -2.961 -1.837
-3.145 1.271 5.162
Mg Th
2 2
direct
0.333 0.667 0.438
0.000 0.000 0.938
0.000 0.000 0.437
0.333 0.667 0.937
```

# Ta7Re5

Ta7Re5 after structural relaxation (GGA-PBE, OQMD).

## Properties
energy above the lowest structure with this stoichiometry = 27 meV/atom
energy of formation = -0.0419 eV/atom

The structure in POSCAR format:
```
Ta7Re5
1.0
5.304 0.000 0.000
-2.652 4.594 0.000
0.000 0.000 17.033
Re Ta
10 14
direct
0.333 0.667 0.122
0.500 0.500 0.000
0.000 0.500 0.000
0.667 0.333 0.878
0.500 0.000 0.500
0.667 0.333 0.622
0.000 0.500 0.500
0.333 0.667 0.378
0.500 0.000 0.000
0.500 0.500 0.500
0.835 0.670 0.750
0.165 0.835 0.250
0.000 0.000 0.589
0.000 0.000 0.411
0.667 0.333 0.151
0.835 0.165 0.750
0.330 0.165 0.750
0.000 0.000 0.911
0.667 0.333 0.349
0.000 0.000 0.089
0.165 0.330 0.250
0.333 0.667 0.651
0.333 0.667 0.849
0.670 0.835 0.250
```

# ScTlNiW

ScTlNiW after structural relaxation (GGA-PBE, OQMD).

## Properties
total DFT energy (no corrections) = -6.226 eV per atom

The structure in POSCAR format:
```
ScTlNiW
1.0
0.000 3.286 3.286
3.286 0.000 3.286
3.286 3.286 0.000
Tl Ni Sc W
1 1 1 1
direct
0.000 0.000 0.000
0.750 0.750 0.750
0.250 0.250 0.250
0.500 0.500 0.500
```

# HfInNiPd

HfInNiPd after structural relaxation (GGA-PBE, OQMD).

## Properties
energy above the lowest structure with this stoichiometry = 316 meV/atom

The structure in POSCAR format:
```
HfInNiPd
1.0
1.479 2.588 3.489
-2.792 0.909 3.527
0.786 -1.907 4.099
Ni Pd In Hf
1 1 1 1
direct
0.750 0.750 0.750
0.500 0.500 0.500
0.000 0.000 0.000
0.250 0.250 0.250
```

# RbLiTbTe3

RbLiTbTe3 after structural relaxation (GGA-PBE, OQMD).

## Properties
energy above the lowest structure with this stoichiometry = 0 meV/atom

The structure in POSCAR format:
```
RbLiTbTe3
1.0
2.213 -7.956 0.000
2.213 7.956 0.000
0.000 0.000 11.747
Rb Te Tb Li
2 6 2 2
direct
0.744 0.256 0.750
0.256 0.744 0.250
0.941 0.059 0.250
0.631 0.369 0.451
0.369 0.631 0.951
0.631 0.369 0.049
0.059 0.941 0.750
0.369 0.631 0.549
0.000 0.000 0.000
0.000 0.000 0.500
0.542 0.458 0.250
0.458 0.542 0.750
```

# TmNbAg

TmNbAg after structural relaxation (GGA-PBE, OQMD).

## Properties
energy above the lowest structure with this stoichiometry = 0 meV/atom
energy of formation = 0.9764 eV/atom

The structure in POSCAR format:
```
TmNbAg
1.0
0.000 3.314 3.314
3.314 0.000 3.314
3.314 3.314 0.000
Nb Tm Ag
1 1 1
direct
0.000 0.000 0.000
0.750 0.750 0.750
0.250 0.250 0.250
```

# HoAlCo

HoAlCo after structural relaxation (GGA-PBE, OQMD).

## Properties
total DFT energy (no corrections) = -4.853 eV per atom

The structure in POSCAR format:
```
HoAlCo
1.0
1.358 -1.776 3.800
-2.656 -2.716 2.238
0.924 -4.305 0.215
Al Ho Co
1 1 1
direct
0.000 0.000 0.000
0.750 0.750 0.750
0.250 0.250 0.250
```

# KTaNO

KTaNO after structural relaxation (GGA-PBE, OQMD).

## Properties
energy above the lowest structure with this stoichiometry = 224 meV/atom

The structure in POSCAR format:
```
KTaNO
1.0
6.261 0.000 0.000
0.000 8.031 0.000
0.000 0.000 5.849
N Ta K O
4 4 4 4
direct
0.502 0.287 0.545
0.002 0.713 0.545
0.998 0.287 0.045
0.498 0.713 0.045
0.403 0.081 0.490
0.597 0.919 0.990
0.903 0.919 0.490
0.097 0.081 0.990
0.436 0.628 0.524
0.936 0.372 0.524
0.564 0.372 0.024
0.064 0.628 0.024
0.605 0.916 0.643
0.395 0.084 0.143
0.895 0.916 0.143
0.105 0.084 0.643
```

# TlNiMoPd

TlNiMoPd after structural relaxation (GGA-PBE, OQMD).

## Properties
energy above the lowest structure with this stoichiometry = 51 meV/atom

The structure in POSCAR format:
```
TlNiMoPd
1.0
-3.871 -0.944 2.094
-3.913 0.511 -2.165
-2.390 -3.616 -1.212
Pd Mo Tl Ni
1 1 1 1
direct
0.500 0.500 0.500
0.250 0.250 0.250
0.000 0.000 0.000
0.750 0.750 0.750
```

# NdGdBr2N

NdGdBr2N after structural relaxation (GGA-PBE, OQMD).

## Properties
total DFT energy (no corrections) = -5.895 eV per atom

The structure in POSCAR format:
```
NdGdBr2N
1.0
3.749 0.000 0.000
-1.875 3.247 0.000
0.000 0.000 10.598
Gd Nd N Br
1 1 1 2
direct
0.000 0.000 0.373
0.333 0.667 0.627
0.667 0.333 0.490
0.333 0.667 0.189
0.000 0.000 0.820
```

# RbW3N5

RbW3N5 after structural relaxation (GGA-PBE, OQMD).

## Properties
total DFT energy (no corrections) = -8.551 eV per atom

The structure in POSCAR format:
```
RbW3N5
1.0
5.222 0.000 0.000
-2.611 4.523 0.000
0.000 0.000 6.391
N W Rb
5 3 1
direct
0.667 0.333 0.716
0.667 0.333 0.284
0.333 0.667 0.716
0.333 0.667 0.284
0.000 0.000 0.500
0.000 0.500 0.500
0.500 0.000 0.500
0.500 0.500 0.500
0.000 0.000 0.000
```

# CuGeIrW

CuGeIrW after structural relaxation (GGA-PBE, OQMD).

## Properties
energy above the lowest structure with this stoichiometry = 0 meV/atom

The structure in POSCAR format:
```
CuGeIrW
1.0
-2.656 -3.372 0.804
-4.226 0.703 0.849
-3.034 -1.136 -2.928
Ir Ge Cu W
1 1 1 1
direct
0.500 0.500 0.500
0.000 0.000 0.000
0.750 0.750 0.750
0.250 0.250 0.250
```

# PrPdNO

PrPdNO after structural relaxation (GGA-PBE, OQMD).

## Properties
energy above the lowest structure with this stoichiometry = 72 meV/atom

The structure in POSCAR format:
```
PrPdNO
1.0
-3.130 -2.229 -1.731
2.717 -1.683 -2.747
1.344 -5.568 4.740
Pr O N Pd
2 2 2 2
direct
0.500 0.000 0.853
0.000 0.500 0.147
0.500 0.500 0.000
0.000 0.000 0.000
0.000 0.500 0.471
0.500 0.000 0.529
0.500 0.500 0.500
0.000 0.000 0.500
```

# HfFe2Cu

HfFe2Cu after structural relaxation (GGA-PBE, OQMD).

## Properties
energy of formation = 0.0115 eV/atom

The structure in POSCAR format:
```
HfFe2Cu
1.0
0.000 3.030 3.030
3.030 0.000 3.030
3.030 3.030 0.000
Fe Hf Cu
2 1 1
direct
0.750 0.750 0.750
0.000 0.000 0.000
0.250 0.250 0.250
0.500 0.500 0.500
```

# NbInCoHg

NbInCoHg after structural relaxation (GGA-PBE, OQMD).

## Properties
energy above the lowest structure with this stoichiometry = 82 meV/atom

The structure in POSCAR format:
```
NbInCoHg
1.0
3.343 1.299 2.946
-1.111 1.584 4.219
0.910 -2.569 3.757
In Hg Co Nb
1 1 1 1
direct
0.000 0.000 0.000
0.500 0.500 0.500
0.750 0.750 0.750
0.250 0.250 0.250
```

# Hg2BiIr

Hg2BiIr after structural relaxation (GGA-PBE, OQMD).

## Properties
total DFT energy (no corrections) = -2.851 eV per atom

The structure in POSCAR format:
```
Hg2BiIr
1.0
0.000 3.532 3.532
3.532 0.000 3.532
3.532 3.532 0.000
Bi Hg Ir
1 2 1
direct
0.500 0.500 0.500
0.750 0.750 0.750
0.000 0.000 0.000
0.250 0.250 0.250
```

# TmSnPt

TmSnPt after structural relaxation (GGA-PBE, OQMD).

## Properties
total DFT energy (no corrections) = -5.934 eV per atom

The structure in POSCAR format:
```
TmSnPt
1.0
-2.066 -1.047 -7.073
5.847 -3.691 2.754
-2.415 -2.971 1.145
Pt Sn Tm
3 3 3
direct
0.667 0.333 0.000
0.000 0.000 0.500
0.333 0.667 0.000
0.260 0.000 0.000
0.740 0.740 0.000
0.000 0.260 0.000
0.595 0.000 0.500
0.000 0.595 0.500
0.405 0.405 0.500
```

# Te2Pd11

Te2Pd11 after structural relaxation (GGA-PBE, OQMD).

## Properties
total DFT energy (no corrections) = -4.899 eV per atom

The structure in POSCAR format:
```
Te2Pd11
1.0
-0.481 -0.148 -5.846
-2.886 -1.669 -4.828
-9.173 15.005 0.752
Pd Te
11 2
direct
0.055 0.055 0.346
0.572 0.572 0.765
0.000 0.000 0.500
0.254 0.254 0.710
0.945 0.945 0.654
0.632 0.632 0.604
0.746 0.746 0.290
0.685 0.685 0.449
0.428 0.428 0.235
0.315 0.315 0.551
0.368 0.368 0.396
0.888 0.888 0.804
0.112 0.112 0.196
```

# SbIr9

SbIr9 after structural relaxation (GGA-PBE, OQMD).

## Properties
energy above the lowest structure with this stoichiometry = 0 meV/atom

The structure in POSCAR format:
```
SbIr9
1.0
-0.465 0.632 -2.660
-3.507 -1.518 0.253
-13.768 33.538 10.370
Ir Sb
18 2
direct
0.500 0.500 0.409
0.000 0.000 0.446
0.000 0.000 0.663
0.500 0.500 0.627
0.500 0.500 0.191
0.500 0.500 0.482
0.000 0.000 0.301
0.000 0.000 0.229
0.500 0.500 0.771
0.000 0.000 0.809
0.000 0.000 0.518
0.000 0.000 0.736
0.000 0.000 0.591
0.000 0.000 0.373
0.500 0.500 0.337
0.500 0.500 0.264
0.500 0.500 0.554
0.500 0.500 0.699
0.000 0.000 0.150
0.500 0.500 0.850
```

# MgTc

MgTc after structural relaxation (GGA-PBE, OQMD).

## Properties
energy above the lowest structure with this stoichiometry = 109 meV/atom

The structure in POSCAR format:
```
MgTc
1.0
-3.094 1.165 -2.915
-6.612 0.828 7.347
1.122 4.296 0.526
Tc Mg
6 6
direct
0.916 0.150 0.500
0.414 0.646 0.500
0.416 0.017 0.500
0.914 0.521 0.500
0.417 0.147 0.000
0.917 0.020 0.000
0.418 0.842 0.000
0.918 0.324 0.000
0.421 0.499 0.000
0.915 0.838 0.500
0.415 0.328 0.500
0.921 0.668 0.000
```

# TaCdCuNi

TaCdCuNi after structural relaxation (GGA-PBE, OQMD).

## Properties
energy above the lowest structure with this stoichiometry = 0 meV/atom
energy of formation = 0.0606 eV/atom

The structure in POSCAR format:
```
TaCdCuNi
1.0
0.000 3.090 3.090
3.090 0.000 3.090
3.090 3.090 0.000
Cu Ta Ni Cd
1 1 1 1
direct
0.750 0.750 0.750
0.000 0.000 0.000
0.250 0.250 0.250
0.500 0.500 0.500
```

# Ba4Ag3Te

Ba4Ag3Te after structural relaxation (GGA-PBE, OQMD).

## Properties
total DFT energy (no corrections) = -2.976 eV per atom

The structure in POSCAR format:
```
Ba4Ag3Te
1.0
-1.745 4.351 -4.757
-2.492 -3.674 -2.446
-7.252 1.913 4.516
Ba Ag Te
4 3 1
direct
0.349 0.000 0.183
0.649 0.500 0.808
0.140 0.000 0.687
0.865 0.500 0.323
0.615 0.000 0.530
0.375 0.500 0.468
0.171 0.500 0.955
0.835 0.000 0.045
```

# Ho3Mg3Tl2Ag

Ho3Mg3Tl2Ag after structural relaxation (GGA-PBE, OQMD).

## Properties
total DFT energy (no corrections) = -3.206 eV per atom

The structure in POSCAR format:
```
Ho3Mg3Tl2Ag
1.0
-6.221 -4.030 1.519
2.980 -0.118 -6.954
2.538 -3.486 1.147
Ho Tl Mg Ag
3 2 3 1
direct
0.000 0.416 0.500
0.416 0.000 0.500
0.584 0.584 0.500
0.667 0.333 0.000
0.333 0.667 0.000
0.000 0.762 0.000
0.762 0.000 0.000
0.238 0.238 0.000
0.000 0.000 0.500
```

no.,calculated volume (Å³/cell)
1,65
2,160
3,415
4,71
5,68
6,414
7,73
8,61
9,294
10,64
11,129
12,151
13,59
14,132
15,56
16,71
17,88
18,192
19,301
20,401
21,195
22,59
23,296
24,221